[1]
First-principles (PBE) data for an optimized crystal structure of AgOsI2, as listed in Alexandria via LeMat-Bulk.

The calculation puts the formation energy from raw total energies at 1.230 eV/atom.

Cell: 7.0740 7.0740 7.0740 Å, 90.00 90.00 90.00°
With the nearest neighbours (Å) after each atom.
Fractional positions:
Ag1 0.0000 0.0000 0.0000  8 I 3.06
Ag2 0.0000 0.5000 0.5000  8 I 3.06
Ag3 0.5000 0.0000 0.5000  8 I 3.06
Ag4 0.5000 0.5000 0.0000  8 I 3.06
Os1 0.0000 0.0000 0.5000  8 I 3.06
Os2 0.0000 0.5000 0.0000  8 I 3.06
Os3 0.5000 0.0000 0.0000  8 I 3.06
Os4 0.5000 0.5000 0.5000  8 I 3.06
I1 0.2500 0.2500 0.2500  4 Os 3.06, 4 Ag 3.06
I2 0.2500 0.2500 0.7500  4 Os 3.06, 4 Ag 3.06
I3 0.2500 0.7500 0.2500  4 Os 3.06, 4 Ag 3.06
I4 0.2500 0.7500 0.7500  4 Os 3.06, 4 Ag 3.06
I5 0.7500 0.2500 0.2500  4 Os 3.06, 4 Ag 3.06
I6 0.7500 0.2500 0.7500  4 Os 3.06, 4 Ag 3.06
I7 0.7500 0.7500 0.2500  4 Os 3.06, 4 Ag 3.06
I8 0.7500 0.7500 0.7500  4 Ag 3.06, 4 Os 3.06

=====

[2]
First-principles (PBE) data for an optimized crystal structure of Na2Ga2Cu, as listed in Alexandria via LeMat-Bulk.

Cell: 5.8623 5.8623 7.1868 Å, 90.00 90.00 78.26°
With the nearest neighbours (Å) after each atom.
Fractional positions:
Na1 0.1873 0.1873 0.0000  4 Ga 3.08-3.14, 1 Na 3.41
Na2 0.1873 0.1873 0.5000  4 Ga 3.08-3.14, 1 Na 3.41
Na3 0.8127 0.8127 0.0000  4 Ga 3.08-3.14, 1 Na 3.41
Na4 0.8127 0.8127 0.5000  4 Ga 3.08-3.14, 1 Na 3.41
Ga1 0.3370 0.6630 0.5810  2 Cu 2.38-2.58, 1 Ga 2.43
Ga2 0.3370 0.6630 0.9190  2 Cu 2.38-2.58, 1 Ga 2.43
Ga3 0.6630 0.3370 0.0810  2 Cu 2.38-2.58, 1 Ga 2.43
Ga4 0.6630 0.3370 0.4190  2 Cu 2.38-2.58, 1 Ga 2.43
Cu1 0.3546 0.6454 0.2500  4 Ga 2.38-2.58
Cu2 0.6454 0.3546 0.7500  4 Ga 2.38-2.58

=====

Computed electronic total energy, in the same sequence as the records: -3.065, -2.550 eV per atom.
Computed excess energy over the best structure of this formula in the dataset, in the same sequence as the records: 0.3680, 0.0216 eV per atom.